# BeZnCu4Ge2, relaxed, DFT PBE
# - VASP energy (eV/cell) = -28.10
data_BeZnCu4Ge2
_symmetry_space_group_name_H-M 'P 4/m m m'
_symmetry_Int_Tables_number 123
_symmetry_space_group_name_Hall '-P 4 2'
_cell_length_a 4.025
_cell_length_b 4.025
_cell_length_c 6.400
_cell_angle_alpha 90.00
_cell_angle_beta 90.00
_cell_angle_gamma 90.00
loop_
_atom_site_label
_atom_site_type_symbol
_atom_site_fract_x
_atom_site_fract_y
_atom_site_fract_z
Be1 Be 0.000 0.000 0.000
Zn1 Zn 0.500 0.500 0.500
Cu1 Cu 0.000 0.500 0.230
Ge1 Ge 0.000 0.000 0.500
Ge2 Ge 0.500 0.500 0.000